Entry 1:
This record from the Alexandria database describes crystalline MgScPb3 at its relaxed geometry. The functional is PBE.

## Properties
The calculation puts the density of states at the Fermi level at 4.8 states/eV/cell. The relative energy among the computed polymorphs is 458 meV/atom. The formation energy comes out at 1.6 eV/f.u.

Cell: 5.630 5.630 5.630 Å, 90.00 90.00 90.00°
Fractional positions:
Pb  0.000  0.500  0.000
Pb  0.500  0.000  0.000
Pb  0.000  0.000  0.500
Sc  0.000  0.000  0.000
Mg  0.500  0.500  0.500

Entry 2:
This record from the Alexandria database describes crystalline YTaBr at its relaxed geometry. The functional is PBE.

## Properties
The calculation puts the density of states at the Fermi level at 2.4 states/eV/cell. The uncorrected formation energy is 0.7105 eV per atom. The relative energy among the computed polymorphs is 623 meV/atom.

Cell: 4.697 4.697 4.697 Å, 60.00 60.00 60.00°
Fractional positions:
Br  0.750  0.750  0.750
Ta  0.000  0.000  0.000
Y  0.500  0.500  0.500

Entry 3:
This record from the Alexandria database describes crystalline NdTm5Ag6 at its relaxed geometry. The functional is PBE.

## Properties
The calculation puts the density of states at the Fermi level at 5.7 states/eV/cell. The formation energy comes out at -3.9 eV/f.u.

Cell: 5.134 7.174 8.133 Å, 90.00 71.54 90.00°
Fractional positions:
Ag  0.500  0.263  0.000
Ag  0.829  0.255  0.342
Ag  0.500  0.737  0.000
Ag  0.171  0.255  0.658
Ag  0.171  0.745  0.658
Ag  0.829  0.745  0.342
Nd  0.000  0.000  0.000
Tm  0.335  0.500  0.331
Tm  0.668  0.000  0.664
Tm  0.332  0.000  0.336
Tm  0.665  0.500  0.669
Tm  0.000  0.500  0.000

Entry 4:
This record from the Alexandria database describes crystalline SbPb2Se at its relaxed geometry. The functional is PBE.

## Properties
The calculation puts the density of states at the Fermi level at 2.1 states/eV/cell. The uncorrected formation energy is 0.0459 eV per atom. The relative energy among the computed polymorphs is 255 meV/atom.

Cell: 3.820 5.552 5.318 Å, 90.00 90.00 90.00°
Fractional positions:
Pb  0.000  0.000  0.000
Pb  0.500  0.500  0.000
Sb  0.500  0.000  0.500
Se  0.000  0.500  0.500

Entry 5:
This record from the Alexandria database describes crystalline SbSeCl at its relaxed geometry. The functional is PBE.

## Properties
The calculation puts the density of states at the Fermi level at 0.5 states/eV/cell. The uncorrected formation energy is -0.2140 eV per atom.

Cell: 6.928 6.929 3.563 Å, 75.09 75.11 29.80°
Fractional positions:
Sb  0.324  0.324  0.676
Cl  0.967  0.967  0.033
Se  0.709  0.709  0.291

Entry 6:
This record from the Alexandria database describes crystalline ScCoRe2 at its relaxed geometry. The functional is PBE.

## Properties
The calculation puts the density of states at the Fermi level at 4.6 states/eV/cell. The relative energy among the computed polymorphs is 359 meV/atom. The formation energy comes out at 1.1 eV/f.u.

Cell: 9.096 9.096 9.096 Å, 17.69 17.69 17.69°
Site moments in Bohr magnetons follow the coordinates.
Fractional positions:
Re  0.492  0.492  0.492  -0.05
Re  0.008  0.008  0.008  -0.05
Sc  0.250  0.250  0.250  -0.03
Co  0.750  0.750  0.750  -1.04

Entry 7:
This record from the Alexandria database describes crystalline HPdRhBr2 at its relaxed geometry. The functional is PBE.

## Properties
The calculation puts the density of states at the Fermi level at 5.6 states/eV/cell. The electronic total energy is -3.344 eV per atom.

Cell: 4.864 3.390 4.864 Å, 90.00 90.00 90.00°
Fractional positions:
Rh  0.000  0.500  0.000
Pd  0.500  0.500  0.500
Br  0.000  0.000  0.500
Br  0.500  0.000  0.000
H  0.000  0.000  0.000

Entry 8:
This record from the Alexandria database describes crystalline HfCd at its relaxed geometry. The functional is PBE.

## Properties
The calculation puts the density of states at the Fermi level at 9.5 states/eV/cell. The formation energy comes out at 1.1 eV/f.u.

Cell: 5.673 5.673 5.882 Å, 90.00 90.00 90.00°
Site moments in Bohr magnetons follow the coordinates.
Fractional positions:
Hf  0.683  0.317  0.500  0.34
Hf  0.183  0.183  0.000  0.34
Hf  0.317  0.683  0.500  0.34
Hf  0.817  0.817  0.000  0.34
Cd  0.683  0.317  0.000  0.02
Cd  0.183  0.183  0.500  0.02
Cd  0.817  0.817  0.500  0.02
Cd  0.317  0.683  0.000  0.02

Entry 9:
This record from the Alexandria database describes crystalline Ac3Sb2Se at its relaxed geometry. The functional is PBE.

## Properties
The calculation puts the density of states at the Fermi level at 1.9 states/eV/cell. The uncorrected formation energy is -1.4541 eV per atom.

Cell: 4.707 6.660 8.114 Å, 114.23 106.86 90.00°
Fractional positions:
Sb  0.168  0.168  0.837
Sb  0.832  0.832  0.163
Ac  0.838  0.338  0.175
Ac  0.162  0.662  0.825
Ac  0.500  0.000  0.500
Se  0.500  0.500  0.500

Entry 10:
This record from the Alexandria database describes crystalline MgTl2Cl4 at its relaxed geometry. The functional is PBE.

## Properties
The calculation puts the density of states at the Fermi level at 0.0 states/eV/cell. The uncorrected formation energy is -1.3587 eV per atom. The relative energy among the computed polymorphs is 12 meV/atom.

Cell: 3.899 8.399 8.506 Å, 131.91 103.25 90.00°
Fractional positions:
Cl  0.360  0.775  0.720
Cl  0.965  0.244  0.930
Cl  0.035  0.756  0.070
Cl  0.640  0.225  0.280
Tl  0.651  0.619  0.302
Tl  0.349  0.381  0.698
Mg  0.000  0.000  0.000

Entry 11:
This record from the Alexandria database describes crystalline Mg3Mo at its relaxed geometry. The functional is PBE.

## Properties
The calculation puts the density of states at the Fermi level at 9.8 states/eV/cell. The relative energy among the computed polymorphs is 0 meV/atom. The formation energy comes out at 0.8 eV/f.u.

Cell: 4.545 9.519 7.128 Å, 90.00 90.00 90.00°
Fractional positions:
Mo  0.750  0.250  0.342
Mo  0.750  0.750  0.842
Mo  0.250  0.750  0.658
Mo  0.250  0.250  0.158
Mg  0.750  0.997  0.122
Mg  0.250  0.497  0.878
Mg  0.750  0.750  0.397
Mg  0.750  0.003  0.622
Mg  0.250  0.250  0.603
Mg  0.250  0.997  0.378
Mg  0.750  0.497  0.622
Mg  0.750  0.503  0.122
Mg  0.250  0.750  0.103
Mg  0.250  0.003  0.878
Mg  0.750  0.250  0.897
Mg  0.250  0.503  0.378

Entry 12:
This record from the Alexandria database describes crystalline Ag2IBr at its relaxed geometry. The functional is PBE.

## Properties
The calculation puts the density of states at the Fermi level at 0.0 states/eV/cell. The uncorrected formation energy is -0.0055 eV per atom. The relative energy among the computed polymorphs is 293 meV/atom.

Cell: 5.256 5.256 5.256 Å, 60.00 60.00 60.00°
Fractional positions:
Br  0.000  0.000  0.000
I  0.500  0.500  0.500
Ag  0.250  0.250  0.250
Ag  0.750  0.750  0.750